{"formula": "Li2ReSi", "functional": "GGA-PBEsol", "state": "optimized geometry", "formation_energy_uncorrected_mev_per_atom": 84, "space_group": "R3m, No. 160", "total_magnetization_mub_per_cell": 0.000, "lattice": [[1.4090, 0.8135, 8.8958], [-1.4090, 0.8135, 8.8958], [0.0000, -1.6270, 8.8958]], "species": ["Li", "Li", "Re", "Si"], "fractional_positions": [[0.0000, 0.0000, 0.0000], [0.2365, 0.2365, 0.2365], [0.7522, 0.7522, 0.7522], [0.4882, 0.4882, 0.4882]]}